Density functional theory data (GGA-PBE) for crystalline Sm6Dy7Tm16 at its relaxed geometry.

As for the symmetry: Fm-3m, No. 225. Its total energy is -124.9 eV per formula unit. The formation energy comes out at 0.248 eV per atom.

Cell lengths 11.0673, 11.0673, 11.0673 Å; angles 60.00, 60.00, 60.00 degrees
Each line ends with the local moment (μB).
Positions (direct):
Tm: 0.1233 0.6300 0.1233  0.15
Tm: 0.8767 0.8767 0.3700  0.15
Tm: 0.3462 0.3462 0.9615  0.19
Tm: 0.9615 0.3462 0.3462  0.19
Tm: 0.6300 0.1233 0.1233  0.15
Tm: 0.3700 0.8767 0.8767  0.15
Tm: 0.8767 0.3700 0.8767  0.15
Tm: 0.8767 0.8767 0.8767  0.15
Tm: 0.3462 0.3462 0.3462  0.19
Tm: 0.6538 0.6538 0.6538  0.19
Tm: 0.3462 0.9615 0.3462  0.19
Tm: 0.1233 0.1233 0.6300  0.15
Tm: 0.6538 0.6538 0.0385  0.19
Tm: 0.1233 0.1233 0.1233  0.15
Tm: 0.6538 0.0385 0.6538  0.19
Tm: 0.0385 0.6538 0.6538  0.19
Sm: 0.7199 0.2801 0.7199  0.23
Sm: 0.7199 0.2801 0.2801  0.23
Sm: 0.2801 0.2801 0.7199  0.23
Sm: 0.7199 0.7199 0.2801  0.23
Sm: 0.2801 0.7199 0.2801  0.23
Sm: 0.2801 0.7199 0.7199  0.23
Dy: 0.5000 0.5000 0.0000  0.10
Dy: 0.0000 0.0000 0.5000  0.10
Dy: 0.5000 0.0000 0.5000  0.10
Dy: 0.0000 0.5000 0.5000  0.10
Dy: 0.0000 0.0000 0.0000  0.07
Dy: 0.5000 0.0000 0.0000  0.10
Dy: 0.0000 0.5000 0.0000  0.10

Density functional theory data (GGA-PBE) for crystalline MgAuN2 at its relaxed geometry.

As for the symmetry: I-42d, No. 122. Its total energy is -18.4 eV per formula unit. The formation energy without anion corrections is 785 meV per atom.

Cell lengths 4.6208, 4.6208, 6.2170 Å; angles 68.18, 68.18, 90.00 degrees
Positions (direct):
Mg: 0.2500 0.7500 0.5000
Mg: 0.5000 0.5000 0.0000
N: 0.1206 0.6250 0.2500
N: 0.3750 0.3706 0.7500
N: 0.8750 0.8794 0.7500
N: 0.6294 0.1250 0.2500
Au: 0.7500 0.2500 0.5000
Au: 0.0000 0.0000 0.0000

Density functional theory data (GGA-PBE) for crystalline Ga2B2O7 at its relaxed geometry.

As for the symmetry: C2/m, No. 12. Its total energy is -73.0 eV per formula unit. The formation energy without anion corrections is -1720 meV per atom.

Cell lengths 4.5035, 4.9832, 4.9832 Å; angles 109.70, 99.54, 99.54 degrees
Positions (direct):
O: 0.7922 0.6588 0.6588
O: 0.7137 0.3931 0.0929
O: 0.2078 0.3412 0.3412
O: 0.7137 0.0929 0.3931
O: 0.0000 0.0000 0.0000
O: 0.2863 0.9071 0.6069
O: 0.2863 0.6069 0.9071
B: 0.1317 0.7815 0.7815
B: 0.8683 0.2185 0.2185
Ga: 0.5000 0.6919 0.3081
Ga: 0.5000 0.3081 0.6919

Density functional theory data (GGA-PBE) for crystalline LiErH3 at its relaxed geometry.

As for the symmetry: Pm-3m, No. 221. Its total energy is -18.4 eV per formula unit.

Cell lengths 3.5360, 3.5360, 3.5360 Å; angles 90.00, 90.00, 90.00 degrees
Positions (direct):
Er: 0.5000 0.5000 0.5000
Li: 0.0000 0.0000 0.0000
H: 0.0000 0.5000 0.0000
H: 0.0000 0.0000 0.5000
H: 0.5000 0.0000 0.0000

Density functional theory data (GGA-PBE) for crystalline Ba2TlRh at its relaxed geometry.

As for the symmetry: Fm-3m, No. 225. Its total energy is -13.9 eV per formula unit. The formation energy comes out at -0.077 eV per atom.

Cell lengths 5.7057, 5.7057, 5.7057 Å; angles 60.00, 60.00, 60.00 degrees
Positions (direct):
Ba: 0.7500 0.7500 0.7500
Ba: 0.2500 0.2500 0.2500
Tl: 0.5000 0.5000 0.5000
Rh: 0.0000 0.0000 0.0000

Density functional theory data (GGA-PBE) for crystalline ScMoSe2 at its relaxed geometry.

As for the symmetry: Pm, No. 6. Its total energy is -26.8 eV per formula unit. The formation energy without anion corrections is -660 meV per atom.

Cell lengths 5.0166, 3.4801, 4.2782 Å; angles 90.35, 90.00, 90.00 degrees
Positions (direct):
Se: 0.5000 0.3736 0.3027
Se: 0.0000 0.8794 0.9388
Mo: 0.0000 0.3723 0.4861
Sc: 0.5000 0.8747 0.7724

Q: Which formula does entry 3 have?
A: Ga2B2O7

Q: Which formula does entry 5 have?
A: Ba2TlRh

What did the third record say?
Density functional theory data (GGA-PBE) for crystalline Ga2B2O7 at its relaxed geometry.

As for the symmetry: C2/m, No. 12. Its total energy is -73.0 eV per formula unit. The formation energy without anion corrections is -1720 meV per atom.

Cell lengths 4.5035, 4.9832, 4.9832 Å; angles 109.70, 99.54, 99.54 degrees
Positions (direct):
O: 0.7922 0.6588 0.6588
O: 0.7137 0.3931 0.0929
O: 0.2078 0.3412 0.3412
O: 0.7137 0.0929 0.3931
O: 0.0000 0.0000 0.0000
O: 0.2863 0.9071 0.6069
O: 0.2863 0.6069 0.9071
B: 0.1317 0.7815 0.7815
B: 0.8683 0.2185 0.2185
Ga: 0.5000 0.6919 0.3081
Ga: 0.5000 0.3081 0.6919